Entry 1:
HfTlZnNi (PBE, relaxed); E = -4.64 eV per atom
1.0
0.000 3.265 3.265
3.265 0.000 3.265
3.265 3.265 0.000
Ni Tl Hf Zn
1 1 1 1
direct
0.750 0.750 0.750
0.000 0.000 0.000
0.250 0.250 0.250
0.500 0.500 0.500

Entry 2:
TmHf2Ni2 (PBE, relaxed); formation enthalpy at 0 K = -105 meV per atom
1.0
2.924 -6.073 0.000
2.924 6.073 0.000
-0.001 0.000 5.382
Hf Ni Tm
4 4 2
direct
0.026 0.291 0.112
0.974 0.709 0.612
0.709 0.974 0.612
0.291 0.026 0.112
0.299 0.701 0.362
0.701 0.299 0.862
0.299 0.701 0.862
0.701 0.299 0.362
0.344 0.344 0.612
0.656 0.656 0.112

Entry 3:
HfUNi (PBE, relaxed); formation enthalpy at 0 K = 371 meV per atom
1.0
0.000 3.139 3.139
3.139 0.000 3.139
3.139 3.139 0.000
Hf Ni U
1 1 1
direct
0.750 0.750 0.750
0.000 0.000 0.000
0.250 0.250 0.250

Entry 4:
HfUNi (PBE, relaxed); formation enthalpy at 0 K = 960 meV per atom
1.0
-1.326 -0.109 4.234
-4.138 -1.256 0.997
-0.715 -3.896 2.002
U Ni Hf
1 1 1
direct
0.000 0.000 0.000
0.750 0.750 0.750
0.250 0.250 0.250

Entry 5:
HfNiW2 (PBE, relaxed); formation enthalpy at 0 K = 31 meV per atom
1.0
3.223 1.922 2.456
-0.564 0.533 4.417
2.395 -2.466 2.880
Hf W Ni
1 2 1
direct
0.500 0.500 0.500
0.250 0.250 0.250
0.000 0.000 0.000
0.750 0.750 0.750

Entry 6:
YHfNi2 (PBE, relaxed); formation enthalpy at 0 K = 25 meV per atom
1.0
2.251 1.300 3.676
-2.251 1.300 3.676
0.000 -2.599 3.676
Ni Hf Y
2 1 1
direct
0.500 0.500 0.500
0.750 0.750 0.750
0.250 0.250 0.250
0.000 0.000 0.000

Entry 7:
YHfNi (PBE, relaxed); formation enthalpy at 0 K = 1012 meV per atom
1.0
0.000 3.218 3.218
3.218 0.000 3.218
3.218 3.218 0.000
Y Hf Ni
1 1 1
direct
0.000 0.000 0.000
0.250 0.250 0.250
0.750 0.750 0.750

Entry 8:
YHf2Ni (PBE, relaxed); formation enthalpy at 0 K = 240 meV per atom
1.0
2.445 1.412 3.993
-2.445 1.412 3.993
0.000 -2.824 3.993
Hf Y Ni
2 1 1
direct
0.000 0.000 0.000
0.750 0.750 0.750
0.500 0.500 0.500
0.250 0.250 0.250

Entry 9:
YHfZnNi (PBE, relaxed); formation enthalpy at 0 K = 190 meV per atom
1.0
0.569 -4.233 -1.969
-1.582 -3.847 2.195
-3.719 -2.319 -1.706
Zn Y Hf Ni
1 1 1 1
direct
0.000 0.000 0.000
0.500 0.500 0.500
0.250 0.250 0.250
0.750 0.750 0.750

Entry 10:
HfZnNi (PBE, relaxed); formation enthalpy at 0 K = 350 meV per atom
1.0
2.273 -3.635 0.247
-1.989 -3.797 -0.246
0.497 -2.462 -3.483
Zn Hf Ni
1 1 1
direct
0.750 0.750 0.750
0.000 0.000 0.000
0.250 0.250 0.250

Entry 11:
HfZn2Ni (PBE, relaxed); formation enthalpy at 0 K = -287 meV per atom
1.0
2.964 -1.866 2.622
-1.027 -0.929 4.150
-0.499 -4.162 1.251
Zn Ni Hf
2 1 1
direct
0.000 0.000 0.000
0.750 0.750 0.750
0.250 0.250 0.250
0.500 0.500 0.500

Entry 12:
HfZnNi (PBE, relaxed); formation enthalpy at 0 K = -166 meV per atom
1.0
0.000 2.947 2.947
2.947 0.000 2.947
2.947 2.947 0.000
Zn Hf Ni
1 1 1
direct
0.750 0.750 0.750
0.250 0.250 0.250
0.000 0.000 0.000

Entry 13:
HfZrZnNi (PBE, relaxed); formation enthalpy at 0 K = 128 meV per atom
1.0
1.755 -0.096 4.265
-2.772 -0.704 3.619
0.204 -3.981 2.321
Hf Zr Ni Zn
1 1 1 1
direct
0.250 0.250 0.250
0.500 0.500 0.500
0.750 0.750 0.750
0.000 0.000 0.000

Entry 14:
HfZrNi (PBE, relaxed); formation enthalpy at 0 K = -334 meV per atom
1.0
0.000 4.452 4.662
2.610 0.000 4.662
2.610 4.452 0.000
Hf Ni Zr
2 2 2
direct
0.663 0.663 0.337
0.337 0.337 0.663
0.250 0.250 0.250
0.750 0.750 0.750
0.837 0.163 0.837
0.163 0.837 0.163

Entry 15:
Hf2ZrNi (PBE, relaxed); formation enthalpy at 0 K = 85 meV per atom
1.0
-1.380 -0.648 4.489
0.204 3.594 3.084
-3.998 2.010 1.564
Hf Zr Ni
2 1 1
direct
0.750 0.750 0.750
0.000 0.000 0.000
0.500 0.500 0.500
0.250 0.250 0.250

Entry 16:
HfZrNi (PBE, relaxed); formation enthalpy at 0 K = -296 meV per atom
1.0
-2.969 1.142 0.465
0.382 -0.302 3.177
3.872 9.876 0.474
Ni Zr Hf
2 2 2
direct
0.500 0.500 0.500
0.000 0.000 0.000
0.500 0.500 0.846
0.500 0.500 0.154
0.000 0.000 0.351
0.000 0.000 0.649

Entry 17:
HfZrNi (PBE, relaxed); formation enthalpy at 0 K = -3 meV per atom
1.0
2.181 -2.776 -2.632
-1.182 -4.238 -0.194
-1.940 -1.581 -3.623
Zr Ni Hf
1 1 1
direct
0.750 0.750 0.750
0.000 0.000 0.000
0.250 0.250 0.250

Entry 18:
Hf3ZrNi2 (PBE, relaxed); formation enthalpy at 0 K = -336 meV per atom
1.0
1.128 1.391 6.174
-3.512 1.157 3.648
1.095 -3.314 3.974
Hf Ni Zr
3 2 1
direct
0.836 0.163 0.837
0.336 0.336 0.664
0.163 0.836 0.164
0.251 0.251 0.249
0.751 0.751 0.749
0.663 0.663 0.337

Entry 19:
HfZrNi (PBE, relaxed); formation enthalpy at 0 K = -328 meV per atom
1.0
-2.613 3.217 3.214
2.613 -3.217 3.214
2.613 3.217 -3.214
Hf Ni Zr
2 2 2
direct
0.250 0.164 0.586
0.578 0.664 0.414
0.749 0.749 0.000
0.749 0.249 0.500
0.923 0.337 0.086
0.250 0.837 0.914

Entry 20:
HfNp (PBE, relaxed); formation enthalpy at 0 K = 280 meV per atom
1.0
3.023 0.000 0.000
-1.511 2.618 0.000
0.000 0.000 5.501
Np Hf
1 1
direct
0.333 0.667 0.250
0.667 0.333 0.750

no.,total magnetic moment (μB per cell)
1,0.0
2,0.0
3,2.9
4,2.2
5,0.0
6,0.0
7,0.0
8,1.9
9,1.0
10,0.0
11,0.0
12,0.5
13,2.0
14,0.0
15,0.0
16,0.0
17,0.2
18,0.0
19,0.0
20,3.0